Cs2Ba2MoO6: optimized geometry, PBE+U.

```
Cs2Ba2MoO6
1.0
6.3988 0.0626 0.1707
-3.1082 5.5936 0.1707
-1.0603 -1.8225 6.8104
Cs Ba Mo O
2 2 1 6
direct
0.8372 0.1628 0.0000
0.1628 0.8372 0.0000
0.3376 0.6624 0.5000
0.6624 0.3376 0.5000
0.0000 0.0000 0.5000
0.8014 0.8014 0.6714
0.0423 0.3010 0.6571
0.1986 0.1986 0.3286
0.3010 0.0423 0.6571
0.9577 0.6990 0.3429
0.6990 0.9577 0.3429
```

DOS(E_F) in states/eV/f.u.: 0.00
M_tot in μB per formula unit: 0.00
Final energy in eV/f.u.: -64.4
V in Å³/cell: 249.0